{
  "formula": "Pm5PrSm6",
  "functional": "PBE",
  "state": "optimized geometry",
  "e_tot_ev_per_atom": -4.72,
  "formation_enthalpy_0k_mev_per_atom": 13,
  "spacegroup": "C2/m, No. 12",
  "lattice": [[3.159, -5.471, 0.000], [3.159, 5.471, 0.000], [-2.114, 0.000, 11.896]],
  "species": ["Pm", "Pm", "Pm", "Pm", "Pm", "Pr", "Sm", "Sm", "Sm", "Sm", "Sm", "Sm"],
  "frac_coords": [[0.000, 0.000, 0.000], [0.167, 0.833, 0.500], [0.333, 0.667, 0.000], [0.667, 0.333, 0.000], [0.833, 0.167, 0.500], [0.500, 0.500, 0.500], [0.083, 0.417, 0.249], [0.249, 0.249, 0.751], [0.417, 0.083, 0.249], [0.583, 0.917, 0.751], [0.751, 0.751, 0.249], [0.917, 0.583, 0.751]]
}